# BaGa2I PBE-GGA relaxed
data_BaGa2I
_symmetry_space_group_name_H-M 'I -4 2 d'
_symmetry_Int_Tables_number 122
_symmetry_space_group_name_Hall 'I -4 2bw'
_cell_length_a 9.2597
_cell_length_b 9.2597
_cell_length_c 6.6515
_cell_angle_alpha 90.00
_cell_angle_beta 90.00
_cell_angle_gamma 90.00
loop_
_atom_site_label
_atom_site_fract_x
_atom_site_fract_y
_atom_site_fract_z
Ba1 0.0000 0.0000 0.0000
Ga1 0.2299 0.2500 0.6250
I1 0.0000 0.0000 0.5000
# total energy	-41.307	eV per cell
# total moment	0.0	μB per cell
# energy above the most stable polymorph in this dataset	0	meV/atom
# ΔE_f (raw)	-200.0	meV per atom

***

# BaGaI4 PBE-GGA relaxed
data_BaGaI4
_symmetry_space_group_name_H-M 'I -4'
_symmetry_Int_Tables_number 82
_cell_length_a 7.9561
_cell_length_b 7.9561
_cell_length_c 8.6052
_cell_angle_alpha 90.00
_cell_angle_beta 90.00
_cell_angle_gamma 90.00
loop_
_symmetry_equiv_pos_as_xyz
'x,y,z'
'y,-x,-z'
'-x,-y,z'
'-y,x,-z'
'x+1/2,y+1/2,z+1/2'
'y+1/2,-x+1/2,-z+1/2'
'-x+1/2,-y+1/2,z+1/2'
'-y+1/2,x+1/2,-z+1/2'
loop_
_atom_site_label
_atom_site_fract_x
_atom_site_fract_y
_atom_site_fract_z
Ba1 0.0000 0.0000 0.0000
Ga1 0.0000 0.5000 0.7500
I1 0.2010 0.2207 0.6531
# total energy	-33.684	eV per cell
# total moment	0.0	μB per cell
# energy above the most stable polymorph in this dataset	62	meV/atom
# ΔE_f (raw)	-948.7	meV per atom

***

# BaGaI PBE-GGA relaxed
data_BaGaI
_symmetry_space_group_name_H-M 'A m m 2'
_symmetry_Int_Tables_number 38
_cell_length_a 14.0359
_cell_length_b 4.5041
_cell_length_c 7.8001
_cell_angle_alpha 90.00
_cell_angle_beta 90.00
_cell_angle_gamma 90.00
loop_
_symmetry_equiv_pos_as_xyz
'x,y,z'
'-x,-y,z'
'-x,y,z'
'x,-y,z'
'x,y+1/2,z+1/2'
'-x,-y+1/2,z+1/2'
'-x,y+1/2,z+1/2'
'x,-y+1/2,z+1/2'
loop_
_atom_site_label
_atom_site_fract_x
_atom_site_fract_y
_atom_site_fract_z
Ba1 0.1613 0.0000 0.0000
Ga1 0.0000 0.0000 0.6667
Ga2 0.5000 0.0000 0.9981
I1 0.3446 0.0000 0.6659
# total energy	-33.391	eV per cell
# total moment	0.0	μB per cell
# ΔE_f (raw)	-616.0	meV per atom

***

# Ba2Ga2I PBE-GGA relaxed
data_Ba2Ga2I
_symmetry_space_group_name_H-M 'P 4/m b m'
_symmetry_Int_Tables_number 127
_symmetry_space_group_name_Hall '-P 4 2ab'
_cell_length_a 9.4865
_cell_length_b 9.4865
_cell_length_c 4.1268
_cell_angle_alpha 90.00
_cell_angle_beta 90.00
_cell_angle_gamma 90.00
loop_
_atom_site_label
_atom_site_fract_x
_atom_site_fract_y
_atom_site_fract_z
Ba1 0.1994 0.3006 0.0000
Ga1 0.0916 0.5916 0.5000
I1 0.0000 0.0000 0.5000
# total energy	-28.775	eV per cell
# total moment	0.0	μB per cell
# ΔE_f (raw)	-587.7	meV per atom

***

# Ba2Ga2I PBE-GGA relaxed
data_Ba2Ga2I
_symmetry_space_group_name_H-M 'I 4/m m m'
_symmetry_Int_Tables_number 139
_symmetry_space_group_name_Hall '-I 4 2'
_cell_length_a 4.1687
_cell_length_b 4.1687
_cell_length_c 20.3748
_cell_angle_alpha 90.00
_cell_angle_beta 90.00
_cell_angle_gamma 90.00
loop_
_atom_site_label
_atom_site_fract_x
_atom_site_fract_y
_atom_site_fract_z
Ba1 0.0000 0.0000 0.1149
Ga1 0.0000 0.5000 0.2500
I1 0.0000 0.0000 0.5000
# total energy	-28.620	eV per cell
# total moment	0.0	μB per cell
# ΔE_f (raw)	-572.1	meV per atom

***

# BaGaI PBE-GGA relaxed
data_BaGaI
_symmetry_space_group_name_H-M 'P 1 2/m 1'
_symmetry_Int_Tables_number 10
_cell_length_a 5.5949
_cell_length_b 4.1997
_cell_length_c 5.8623
_cell_angle_alpha 90.00
_cell_angle_beta 109.18
_cell_angle_gamma 90.00
loop_
_symmetry_equiv_pos_as_xyz
'x,y,z'
'-x,-y,-z'
'-x,y,-z'
'x,-y,z'
loop_
_atom_site_label
_atom_site_fract_x
_atom_site_fract_y
_atom_site_fract_z
Ba1 0.0000 0.0000 0.0000
Ga1 0.5000 0.5000 0.0000
I1 0.0000 0.5000 0.5000
# total energy	-8.314	eV per cell
# total moment	0.0	μB per cell
# ΔE_f (raw)	-604.9	meV per atom

***

# BaGaI PBE-GGA relaxed
data_BaGaI
_symmetry_space_group_name_H-M 'I -4 m 2'
_symmetry_Int_Tables_number 119
_symmetry_space_group_name_Hall 'I -4 -2'
_cell_length_a 4.7298
_cell_length_b 4.7298
_cell_length_c 11.1334
_cell_angle_alpha 90.00
_cell_angle_beta 90.00
_cell_angle_gamma 90.00
loop_
_atom_site_label
_atom_site_fract_x
_atom_site_fract_y
_atom_site_fract_z
Ba1 0.0000 0.0000 0.0000
Ga1 0.0000 0.5000 0.7500
I1 0.0000 0.5000 0.2500
# total energy	-16.173	eV per cell
# total moment	0.0	μB per cell
# ΔE_f (raw)	-528.9	meV per atom

***

# BaGaI PBE-GGA relaxed
data_BaGaI
_symmetry_space_group_name_H-M 'P 1'
_symmetry_Int_Tables_number 1
_cell_length_a 4.3357
_cell_length_b 5.3659
_cell_length_c 6.2815
_cell_angle_alpha 69.69
_cell_angle_beta 70.03
_cell_angle_gamma 89.99
loop_
_symmetry_equiv_pos_as_xyz
'x,y,z'
loop_
_atom_site_label
_atom_site_fract_x
_atom_site_fract_y
_atom_site_fract_z
Ba1 0.0000 0.0000 0.0000
Ga1 0.4891 0.5070 0.0217
I1 0.2459 0.6578 0.5157
# total energy	-8.186	eV per cell
# total moment	0.0	μB per cell
# ΔE_f (raw)	-562.0	meV per atom

***

- Which of these has the highest ΔE_f (raw)?
  BaGa2I

***

- Which of these has the lowest ΔE_f (raw)?
  BaGaI4